Material: Mn4H5
Method: DFT, PBE-GGA
State: optimized geometry

The energy above the most stable polymorph in this dataset comes out at 0.289 eV/atom. The value obtained for the density of states at the Fermi level is 12.5 states/eV/cell. The calculation puts the volume at 130.71 Å³/cell. Its density is 5712 kg/m³.

The space group is C2/m (No. 12) and the conventional cell measures 8.233, 6.315 and 2.514 Å, with angles of 90.00, 90.22 and 90.00 degrees. The inequivalent atoms are Mn at (0.141, 0.174, 0.252), H at (0.000, 0.000, 0.500), H at (0.000, 0.339, 0.500) and H at (0.249, 0.500, 0.254).

Material: MnH
Method: DFT, PBE-GGA
State: optimized geometry

For the final energy, the calculation gives -74.19 eV for the cell shown. The value obtained for the density of states at the Fermi level is 6.2 states/eV/cell. The calculation puts the volume at 87.66 Å³/cell. Its density is 6359 kg/m³.

The space group is Pmmn (No. 59, origin choice 2) and the conventional cell measures 2.676, 8.513 and 3.848 Å, with angles of 90.00, 90.00 and 90.00 degrees. The inequivalent atoms are Mn at (0.250, 0.062, 0.221), Mn at (0.250, 0.750, 0.194), H at (0.250, 0.250, 0.090) and H at (0.250, 0.598, 0.500).

Material: Mn3H2
Method: DFT, PBE-GGA
State: optimized geometry

The energy above the most stable polymorph in this dataset comes out at 0.141 eV/atom. The value obtained for the density of states at the Fermi level is 18.0 states/eV/cell. The calculation puts the volume at 151.66 Å³/cell. Its density is 7306 kg/m³.

The space group is Pbcn (No. 60) and the conventional cell measures 6.817, 4.589 and 4.848 Å, with angles of 90.00, 90.00 and 90.00 degrees. The inequivalent atoms are Mn at (0.000, 0.079, 0.250), Mn at (0.163, 0.403, 0.590) and H at (0.098, 0.255, 0.936).

Material: MnH
Method: DFT, PBE-GGA
State: optimized geometry

For the final energy, the calculation gives -98.46 eV for the cell shown. The value obtained for the density of states at the Fermi level is 7.2 states/eV/cell. The calculation puts the volume at 137.65 Å³/cell. Its density is 5399 kg/m³.

The space group is P4/m (No. 83) and the conventional cell measures 7.325, 7.325 and 2.566 Å, with angles of 90.00, 90.00 and 90.00 degrees. The inequivalent atoms are Mn at (0.110, 0.366, 0.000), Mn at (0.176, 0.652, 0.500), H at (0.126, 0.807, 0.000) and H at (0.272, 0.417, 0.500).

Repeat the first record exactly.
Material: Mn4H5
Method: DFT, PBE-GGA
State: optimized geometry

The energy above the most stable polymorph in this dataset comes out at 0.289 eV/atom. The value obtained for the density of states at the Fermi level is 12.5 states/eV/cell. The calculation puts the volume at 130.71 Å³/cell. Its density is 5712 kg/m³.

The space group is C2/m (No. 12) and the conventional cell measures 8.233, 6.315 and 2.514 Å, with angles of 90.00, 90.22 and 90.00 degrees. The inequivalent atoms are Mn at (0.141, 0.174, 0.252), H at (0.000, 0.000, 0.500), H at (0.000, 0.339, 0.500) and H at (0.249, 0.500, 0.254).